1.
16
Lattice="-4.745 -0.680 -0.432 2.930 -1.083 -3.662 0.807 -7.434 2.844" Properties=species:S:1:pos:R:3 comment="Mn3Be | Alexandria | PBE-GGA | optimized geometry" total_magnetization_mub_per_cell=0.00 final_energy_ev_per_cell=-124.15 space_group="P6_3/mmc (194)" pbc="T T T"
Be 0.000 0.000 0.000
Be 0.404 -3.717 1.422
Be 0.573 -2.807 -1.874
Be -1.582 -6.390 0.625
Mn -2.373 -0.340 -0.216
Mn -1.969 -4.057 1.206
Mn 1.465 -0.542 -1.831
Mn -0.908 -0.882 -2.047
Mn -0.504 -4.599 -0.625
Mn 1.868 -4.258 -0.409
Mn -1.793 -3.164 -2.133
Mn 0.785 -6.034 0.884
Mn -0.855 -2.252 -0.018
Mn -3.307 -2.604 -0.241
Mn 2.299 -6.594 -1.008
Mn -0.153 -6.945 -1.232



2.
12
Lattice="-0.975 -0.623 -3.287 -3.849 -2.037 1.528 -3.268 6.044 -0.177" Properties=species:S:1:pos:R:3 comment="MnBe2 | Alexandria | PBE-GGA | optimized geometry" total_magnetization_mub_per_cell=8.24 final_energy_ev_per_cell=-67.18 space_group="Pnma (62)" pbc="T T T"
Be -2.924 4.150 -0.843
Be -3.154 0.088 -1.852
Be -4.938 3.296 -0.084
Be -5.168 -0.766 -1.093
Be -2.181 2.061 -0.668
Be -5.079 4.361 -2.091
Be -3.014 -0.977 0.155
Be -5.912 1.323 -1.268
Mn -4.101 1.000 0.103
Mn -6.970 3.315 -1.332
Mn -1.123 0.069 -0.604
Mn -3.991 2.384 -2.039



3.
2
Lattice="-1.542 1.813 -0.425 0.023 -1.087 2.160 2.597 2.498 1.229" Properties=species:S:1:pos:R:3 comment="MnBe | Alexandria | PBE-GGA | optimized geometry" total_magnetization_mub_per_cell=0.42 final_energy_ev_per_cell=-12.78 space_group="P-6m2 (187)" pbc="T T T"
Be 0.000 0.000 0.000
Mn 0.278 2.095 1.051



4.
2
Lattice="3.534 0.000 0.000 1.767 3.060 0.000 1.767 1.020 2.885" Properties=species:S:1:pos:R:3 comment="MnBe | Alexandria | PBE-GGA | optimized geometry" total_magnetization_mub_per_cell=2.99 final_energy_ev_per_cell=-9.85 space_group="F-43m (216)" pbc="T T T"
Be 0.000 0.000 0.000
Mn 5.301 3.060 2.164



5.
3
Lattice="3.680 0.000 0.000 1.840 3.187 0.000 1.840 1.062 3.005" Properties=species:S:1:pos:R:3 comment="MnBe2 | Alexandria | PBE-GGA | optimized geometry" total_magnetization_mub_per_cell=2.33 final_energy_ev_per_cell=-14.58 space_group="Fm-3m (225)" pbc="T T T"
Be 5.520 3.187 2.254
Be 1.840 1.062 0.751
Mn 0.000 0.000 0.000



6.
5
Lattice="-3.962 -2.367 -8.491 -1.678 -2.433 -9.201 -2.675 -4.362 -8.198" Properties=species:S:1:pos:R:3 comment="Mn2Be3 | Alexandria | PBE-GGA | optimized geometry" total_magnetization_mub_per_cell=0.29 final_energy_ev_per_cell=-28.99 space_group="R-3m (166)" pbc="T T T"
Mn -3.332 -3.672 -10.374
Mn -4.983 -5.491 -15.515
Be 0.000 0.000 0.000
Be -6.655 -7.334 -20.721
Be -1.660 -1.829 -5.168



7.
4
Lattice="-1.082 -2.007 -2.963 -0.883 -3.610 0.409 -3.559 -1.101 -0.313" Properties=species:S:1:pos:R:3 comment="MnBe | Alexandria | PBE-GGA | optimized geometry" total_magnetization_mub_per_cell=0.00 final_energy_ev_per_cell=-26.49 space_group="Fd-3m (227)" pbc="T T T"
Be -0.691 -0.840 -0.358
Be -4.834 -5.877 -2.508
Mn -2.072 -2.519 -1.075
Mn -3.453 -4.198 -1.792



8.
4
Lattice="-0.012 -0.070 -2.625 -1.367 -2.757 0.080 -4.644 2.302 -0.040" Properties=species:S:1:pos:R:3 comment="Mn3Be | Alexandria | PBE-GGA | optimized geometry" total_magnetization_mub_per_cell=1.18 final_energy_ev_per_cell=-31.36 space_group="Pmmm (47)" pbc="T T T"
Be 0.000 0.000 0.000
Mn -4.252 0.352 -1.303
Mn -2.322 1.151 -0.020
Mn -1.772 -0.877 -1.282